AcDy2Cl: optimized geometry, PBE.

a = 3.7545 Å, b = 3.7545 Å, c = 10.6016 Å
α = 79.80°, β = 79.80°, γ = 60.00°
Closest atoms and distances in Å follow each position.
Atoms (fractional coordinates):
Dy (0.8869, 0.8869, 0.3394)  3 Cl 2.73
Dy (0.1131, 0.1131, 0.6606)  3 Cl 2.73
Ac (0.0000, 0.0000, 0.0000)  2 Dy 3.52, 6 Ac 3.75
Cl (0.5000, 0.5000, 0.5000)  6 Dy 2.73

D(E_F): 3.2 states/eV/cell
size of the total moment: 0.00 μB/f.u.
raw formation energy: -0.345 eV/atom
crystal system: trigonal
uncorrected energy: -16.5 eV for the cell shown

***

Li2AcDyCl8: optimized geometry, PBE.

a = 6.4062 Å, b = 6.3450 Å, c = 8.6298 Å
α = 94.09°, β = 93.68°, γ = 92.02°
Closest atoms and distances in Å follow each position.
Atoms (fractional coordinates):
Cl (0.8236, 0.2135, 0.2309)  1 Dy 2.66, 1 Li 2.84, 1 Ac 2.95
Cl (0.6900, 0.7079, 0.9839)  2 Li 2.46-2.52, 1 Dy 2.66
Cl (0.3100, 0.2921, 0.0161)  2 Li 2.46-2.52, 1 Dy 2.66
Cl (0.1946, 0.8035, 0.2271)  1 Dy 2.66, 1 Li 2.80, 1 Ac 2.95
Cl (0.8054, 0.1965, 0.7729)  1 Dy 2.66, 1 Li 2.80, 1 Ac 2.95
Cl (0.6729, 0.6923, 0.4504)  1 Li 2.39
Cl (0.3271, 0.3077, 0.5496)  1 Li 2.39
Cl (0.1764, 0.7865, 0.7691)  1 Dy 2.66, 1 Li 2.84, 1 Ac 2.95
Ac (0.0000, 0.0000, 0.5000)  6 Cl 2.80-2.95
Li (0.5367, 0.5426, 0.2014)  3 Cl 2.39-2.52
Li (0.4633, 0.4574, 0.7986)  3 Cl 2.39-2.52
Dy (0.0000, 0.0000, 0.0000)  6 Cl 2.66

D(E_F): 0.0 states/eV/cell
size of the total moment: 0.00 μB/f.u.
raw formation energy: -2.123 eV/atom
crystal system: triclinic
uncorrected energy: -52.8 eV for the cell shown

***

AcEr2Cl: optimized geometry, PBE.

a = 3.7132 Å, b = 3.7132 Å, c = 10.5727 Å
α = 79.89°, β = 79.89°, γ = 60.00°
Closest atoms and distances in Å follow each position.
Atoms (fractional coordinates):
Cl (0.5000, 0.5000, 0.5000)  6 Er 2.72
Ac (0.0000, 0.0000, 0.0000)  2 Er 3.50, 6 Ac 3.71
Er (0.8874, 0.8874, 0.3379)  3 Cl 2.72
Er (0.1126, 0.1126, 0.6621)  3 Cl 2.72

D(E_F): 3.0 states/eV/cell
size of the total moment: 0.00 μB/f.u.
raw formation energy: -0.306 eV/atom
crystal system: trigonal
uncorrected energy: -16.3 eV for the cell shown